Entry 1:
Compound: CaZnBr
Source: the Alexandria database
Functional: GGA-PBE
Structure: relaxed Values from VASP.

Calculated values
Formation energy without anion corrections (eV per atom): -0.695
ΔE to the lowest computed polymorph (kJ per mole of atoms): 4.5
Symmetry: P3m1 (156)
DOS at the Fermi energy (states/eV/f.u.): 1.79

Structure (Quantum ESPRESSO input):
```
&SYSTEM
  ibrav = 0, nat = 3, ntyp = 3
/
ATOMIC_SPECIES
Zn 65.41 Zn.upf
Ca 40.08 Ca.upf
Br 79.90 Br.upf
CELL_PARAMETERS angstrom
-1.395 2.061 -3.180
-1.027 -3.873 0.504
-5.429 1.910 3.620
ATOMIC_POSITIONS angstrom
Zn -4.489 -0.720 1.503
Ca -3.010 0.694 -0.793
Br -0.352 0.124 0.235
```

Entry 2:
Compound: Ca2ZnBr
Source: the Alexandria database
Functional: GGA-PBE
Structure: relaxed Values from VASP.

Calculated values
Formation energy without anion corrections (eV per atom): -0.585
ΔE to the lowest computed polymorph (kJ per mole of atoms): 18.4
Symmetry: I-42d (122)
DOS at the Fermi energy (states/eV/f.u.): 2.04

Structure (Quantum ESPRESSO input):
```
&SYSTEM
  ibrav = 0, nat = 8, ntyp = 3
/
ATOMIC_SPECIES
Zn 65.41 Zn.upf
Ca 40.08 Ca.upf
Br 79.90 Br.upf
CELL_PARAMETERS angstrom
7.880 0.000 0.000
0.000 7.880 0.000
3.940 3.940 4.095
ATOMIC_POSITIONS angstrom
Zn 3.940 3.940 0.000
Zn 3.940 7.880 2.047
Ca 5.904 1.970 1.024
Ca 1.976 5.910 1.024
Ca 5.910 5.916 3.071
Ca 9.850 9.844 3.071
Br 0.000 0.000 0.000
Br 7.880 3.940 2.047
```

Entry 3:
Compound: Ca2ZnBr
Source: the Alexandria database
Functional: GGA-PBE
Structure: relaxed Values from VASP.

Calculated values
Formation energy without anion corrections (eV per atom): -0.520
ΔE to the lowest computed polymorph (kJ per mole of atoms): 24.7
Symmetry: R3m (160)
DOS at the Fermi energy (states/eV/f.u.): 4.17

Structure (Quantum ESPRESSO input):
```
&SYSTEM
  ibrav = 0, nat = 4, ntyp = 3
/
ATOMIC_SPECIES
Zn 65.41 Zn.upf
Ca 40.08 Ca.upf
Br 79.90 Br.upf
CELL_PARAMETERS angstrom
10.447 -0.008 -0.005
9.690 3.906 -0.005
9.690 1.876 3.426
ATOMIC_POSITIONS angstrom
Zn 15.127 2.928 1.733
Ca 0.376 0.073 0.043
Ca 7.235 1.401 0.829
Br 22.002 4.259 2.520
```

Entry 4:
Compound: CaZnBr3
Source: the Alexandria database
Functional: GGA-PBE
Structure: relaxed Values from VASP.

Calculated values
Formation energy without anion corrections (eV per atom): -0.879
ΔE to the lowest computed polymorph (kJ per mole of atoms): 7.1
Symmetry: Pm-3m (221)
DOS at the Fermi energy (states/eV/f.u.): 1.48

Structure (Quantum ESPRESSO input):
```
&SYSTEM
  ibrav = 0, nat = 5, ntyp = 3
/
ATOMIC_SPECIES
Ca 40.08 Ca.upf
Zn 65.41 Zn.upf
Br 79.90 Br.upf
CELL_PARAMETERS angstrom
-1.669 4.445 -2.261
1.969 -1.603 -4.605
-4.582 -2.308 -1.156
ATOMIC_POSITIONS angstrom
Ca -2.141 0.267 -4.011
Zn 0.000 0.000 0.000
Br 0.985 -0.802 -2.303
Br -2.291 -1.154 -0.578
Br -0.834 2.222 -1.131
```

Entry 5:
Compound: CaZnBr
Source: the Alexandria database
Functional: GGA-PBE
Structure: relaxed Values from VASP.

Calculated values
Formation energy without anion corrections (eV per atom): -0.734
ΔE to the lowest computed polymorph (kJ per mole of atoms): 0.7
Symmetry: I4mm (107)
DOS at the Fermi energy (states/eV/f.u.): 1.09

Structure (Quantum ESPRESSO input):
```
&SYSTEM
  ibrav = 0, nat = 3, ntyp = 3
/
ATOMIC_SPECIES
Zn 65.41 Zn.upf
Ca 40.08 Ca.upf
Br 79.90 Br.upf
CELL_PARAMETERS angstrom
-3.151 6.048 -1.907
-4.277 5.419 1.573
2.248 2.693 1.214
ATOMIC_POSITIONS angstrom
Zn -0.635 5.307 0.753
Ca -4.140 8.485 0.192
Br 1.843 3.060 1.149
```

Entry 6:
Compound: CaZn2Br
Source: the Alexandria database
Functional: GGA-PBE
Structure: relaxed Values from VASP.

Calculated values
Formation energy without anion corrections (eV per atom): -0.478
ΔE to the lowest computed polymorph (kJ per mole of atoms): 11.5
Symmetry: C2/m (12)
DOS at the Fermi energy (states/eV/f.u.): 1.64

Structure (Quantum ESPRESSO input):
```
&SYSTEM
  ibrav = 0, nat = 4, ntyp = 3
/
ATOMIC_SPECIES
Zn 65.41 Zn.upf
Ca 40.08 Ca.upf
Br 79.90 Br.upf
CELL_PARAMETERS angstrom
-5.667 -2.898 1.320
-3.552 -2.575 4.797
-2.612 2.834 1.325
ATOMIC_POSITIONS angstrom
Zn -9.217 -5.472 6.115
Zn -5.917 -1.321 3.722
Ca -2.958 -0.660 1.860
Br -8.873 -1.980 5.581
```

Entry 7:
Compound: CaZn2Br
Source: the Alexandria database
Functional: GGA-PBE
Structure: relaxed Values from VASP.

Calculated values
Formation energy without anion corrections (eV per atom): -0.200
ΔE to the lowest computed polymorph (kJ per mole of atoms): 38.4
Symmetry: R-3m (166)
DOS at the Fermi energy (states/eV/f.u.): 2.40

Structure (Quantum ESPRESSO input):
```
&SYSTEM
  ibrav = 0, nat = 4, ntyp = 3
/
ATOMIC_SPECIES
Zn 65.41 Zn.upf
Ca 40.08 Ca.upf
Br 79.90 Br.upf
CELL_PARAMETERS angstrom
8.584 -0.012 -0.007
7.734 3.724 -0.007
7.734 1.759 3.282
ATOMIC_POSITIONS angstrom
Zn 23.936 5.445 3.252
Zn 12.142 2.762 1.650
Ca 18.039 4.104 2.451
Br 6.013 1.368 0.817
```

Entry 8:
Compound: CaZn2Br
Source: the Alexandria database
Functional: GGA-PBE
Structure: relaxed Values from VASP.

Calculated values
Formation energy without anion corrections (eV per atom): -0.418
ΔE to the lowest computed polymorph (kJ per mole of atoms): 17.3
Symmetry: P2/m (10)
DOS at the Fermi energy (states/eV/f.u.): 1.87

Structure (Quantum ESPRESSO input):
```
&SYSTEM
  ibrav = 0, nat = 4, ntyp = 3
/
ATOMIC_SPECIES
Zn 65.41 Zn.upf
Ca 40.08 Ca.upf
Br 79.90 Br.upf
CELL_PARAMETERS angstrom
6.342 0.000 0.000
0.000 3.791 -0.008
0.000 0.048 4.288
ATOMIC_POSITIONS angstrom
Zn 0.000 0.059 4.273
Zn 0.000 1.909 2.154
Ca 3.171 2.879 3.210
Br 3.171 0.960 1.070
```

Entry 9:
Compound: Ca3ZnBr
Source: the Alexandria database
Functional: GGA-PBE
Structure: relaxed Values from VASP.

Calculated values
Formation energy without anion corrections (eV per atom): -0.331
ΔE to the lowest computed polymorph (kJ per mole of atoms): 0.0
Symmetry: Pm-3m (221)
DOS at the Fermi energy (states/eV/f.u.): 4.73

Structure (Quantum ESPRESSO input):
```
&SYSTEM
  ibrav = 0, nat = 5, ntyp = 3
/
ATOMIC_SPECIES
Zn 65.41 Zn.upf
Ca 40.08 Ca.upf
Br 79.90 Br.upf
CELL_PARAMETERS angstrom
-3.035 0.417 -4.854
0.482 -5.665 -0.788
-4.848 -0.824 2.960
ATOMIC_POSITIONS angstrom
Zn 0.000 0.000 0.000
Ca 0.241 -2.833 -0.394
Ca -2.424 -0.412 1.480
Ca -1.518 0.209 -2.427
Br -3.701 -3.036 -1.341
```

Entry 10:
Compound: CaZn2Br
Source: the Alexandria database
Functional: GGA-PBE
Structure: relaxed Values from VASP.

Calculated values
Formation energy without anion corrections (eV per atom): -0.093
ΔE to the lowest computed polymorph (kJ per mole of atoms): 48.6
Symmetry: Fm-3m (225)
DOS at the Fermi energy (states/eV/f.u.): 2.27

Structure (Quantum ESPRESSO input):
```
&SYSTEM
  ibrav = 0, nat = 4, ntyp = 3
/
ATOMIC_SPECIES
Zn 65.41 Zn.upf
Ca 40.08 Ca.upf
Br 79.90 Br.upf
CELL_PARAMETERS angstrom
1.199 -3.395 3.939
-2.533 0.346 4.684
-3.495 -3.771 1.428
ATOMIC_POSITIONS angstrom
Zn -1.207 -1.705 2.513
Zn -3.622 -5.115 7.538
Ca 0.000 0.000 0.000
Br -2.415 -3.410 5.025
```

Entry 11:
Compound: CaZnBr
Source: the Alexandria database
Functional: GGA-PBE
Structure: relaxed Values from VASP.

Calculated values
Formation energy without anion corrections (eV per atom): -0.460
ΔE to the lowest computed polymorph (kJ per mole of atoms): 27.2
Symmetry: F-43m (216)
DOS at the Fermi energy (states/eV/f.u.): 2.28

Structure (Quantum ESPRESSO input):
```
&SYSTEM
  ibrav = 0, nat = 3, ntyp = 3
/
ATOMIC_SPECIES
Zn 65.41 Zn.upf
Ca 40.08 Ca.upf
Br 79.90 Br.upf
CELL_PARAMETERS angstrom
5.031 0.000 0.000
2.515 4.357 0.000
2.515 1.452 4.108
ATOMIC_POSITIONS angstrom
Zn 5.031 2.905 2.054
Ca 0.000 0.000 0.000
Br 7.546 4.357 3.081
```

Entry 12:
Compound: CaZn2Br
Source: the Alexandria database
Functional: GGA-PBE
Structure: relaxed Values from VASP.

Calculated values
Formation energy without anion corrections (eV per atom): -0.309
ΔE to the lowest computed polymorph (kJ per mole of atoms): 27.8
Symmetry: Cmmm (65)
DOS at the Fermi energy (states/eV/f.u.): 2.61

Structure (Quantum ESPRESSO input):
```
&SYSTEM
  ibrav = 0, nat = 4, ntyp = 3
/
ATOMIC_SPECIES
Zn 65.41 Zn.upf
Ca 40.08 Ca.upf
Br 79.90 Br.upf
CELL_PARAMETERS angstrom
-3.119 -0.401 3.144
-0.863 -4.140 -1.375
3.834 -1.980 3.552
ATOMIC_POSITIONS angstrom
Zn 0.046 -0.024 0.043
Zn 1.871 -0.966 1.733
Ca 0.884 -3.755 3.548
Br -1.033 -2.766 1.772
```

no.,total magnetic moment (μB per atom)
1,0.000
2,0.000
3,0.001
4,0.000
5,0.000
6,0.000
7,0.000
8,0.000
9,0.000
10,0.000
11,0.000
12,0.000